Entry 1:
TaNiAs3 | Alexandria | GGA-PBE | optimized geometry; D(E_F) = 3.7 states/eV per cell; formation energy from the elements = 3.502 eV per formula unit; energy relative to the lowest polymorph listed for this composition = 0.00 kcal/mol of atoms; space-group type = No. 221
1.0
-3.0499 -1.9325 -2.7600
2.8091 0.5972 -3.5222
1.8604 -4.0697 0.7937
Ni As Ta
1 3 1
Direct
0.0000 0.0000 0.0000
0.0000 0.5000 0.0000
0.0000 0.0000 0.5000
0.5000 0.0000 0.0000
0.5000 0.5000 0.5000

=====

Entry 2:
Sc2FeRh2 | Alexandria | GGA-PBE | optimized geometry; D(E_F) = 7.0 states/eV per cell; formation energy from the elements = 0.296 eV per formula unit; space-group type = No. 139
1.0
4.1992 0.0000 0.0000
0.0000 4.1992 0.0000
2.0996 2.0996 5.5469
Sc Rh Fe
2 2 1
Direct
0.7500 0.2500 0.5000
0.2500 0.7500 0.5000
0.3885 0.3885 0.2230
0.6115 0.6115 0.7770
0.0000 0.0000 0.0000

=====

Entry 3:
Pm3SbIr | Alexandria | GGA-PBE | optimized geometry; D(E_F) = 5.0 states/eV per cell; energy relative to the lowest polymorph listed for this composition = 7.65 kcal/mol of atoms; space-group type = No. 221; energy relative to the elements, uncorrected = -0.496 eV/atom
1.0
5.4783 0.0000 0.0000
0.0000 5.4783 0.0000
0.0000 0.0000 5.4783
Sb Ir Pm
1 1 3
Direct
0.5000 0.5000 0.5000
0.0000 0.0000 0.0000
0.0000 0.5000 0.0000
0.0000 0.0000 0.5000
0.5000 0.0000 0.0000

=====

Entry 4:
CoIrPt2 | Alexandria | GGA-PBE | optimized geometry; D(E_F) = 13.2 states/eV per cell; formation energy from the elements = 1.952 eV per formula unit; energy relative to the lowest polymorph listed for this composition = 11.78 kcal/mol of atoms; space-group type = No. 122
1.0
6.8751 0.0000 0.0000
0.0000 6.8751 0.0000
3.4376 3.4376 2.6415
Ir Co Pt
2 2 4
Direct
0.0000 0.0000 0.0000
0.7500 0.2500 0.5000
0.5000 0.5000 0.0000
0.2500 0.7500 0.5000
0.6067 0.1250 0.2500
0.1433 0.6250 0.2500
0.3750 0.3933 0.7500
0.8750 0.8567 0.7500